1.
VASP calculation (PBE) on a geometry-optimized Pm6Pt2SeI3 structure.

- N(E_F) (states/eV/cell) = 10.5
- SG = C2/m
- E_form (uncorrected) (eV/f.u.) = -14.33
- magnetic moment (μB per cell) = 0.0

```
Pm6Pt2SeI3
1.0
-6.542 3.576 -0.905
0.208 -6.516 3.728
3.280 4.813 5.706
Pm Pt Se I
6 2 1 3
direct
0.936 0.582 0.810
0.709 0.709 0.189
0.064 0.418 0.190
0.582 0.936 0.810
0.291 0.291 0.811
0.418 0.064 0.190
0.333 0.667 0.000
0.667 0.333 0.000
0.000 0.000 0.000
0.161 0.839 0.500
0.839 0.161 0.500
0.500 0.500 0.500
```

***

2.
VASP calculation (PBE) on a geometry-optimized CsK4HgO structure.

- N(E_F) (states/eV/cell) = 11.3
- SG = C2/m
- E_form (uncorrected) (eV/f.u.) = -3.30
- magnetic moment (μB per cell) = 0.0

```
CsK4HgO
1.0
9.779 0.222 0.212
3.449 9.154 0.212
2.871 2.035 8.820
Cs K Hg O
2 8 2 2
direct
0.977 0.977 0.265
0.023 0.023 0.735
0.357 0.357 0.470
0.643 0.643 0.530
0.102 0.459 0.205
0.552 0.552 0.113
0.541 0.898 0.795
0.459 0.102 0.205
0.448 0.448 0.887
0.898 0.541 0.795
0.210 0.210 0.912
0.790 0.790 0.088
0.620 0.620 0.808
0.380 0.380 0.192
```

***

3.
VASP calculation (PBE) on a geometry-optimized TeRhS2N structure.

- N(E_F) (states/eV/cell) = 3.8
- SG = P4/mmm
- polymorph energy (0 for the lowest one) (kJ/mol of formula units) = 0
- E_form (uncorrected) (eV/f.u.) = 2.63
- magnetic moment (μB per cell) = 0.0

```
TeRhS2N
1.0
-3.502 3.417 -0.525
-0.922 -0.203 4.829
2.490 2.642 0.587
S Te Rh N
2 1 1 1
direct
0.000 0.500 0.000
0.500 0.000 0.000
0.500 0.500 0.500
0.000 0.000 0.000
0.000 0.000 0.500
```

***

4.
VASP calculation (PBE) on a geometry-optimized CsSr2Bi2 structure.

- N(E_F) (states/eV/cell) = 4.1
- SG = I4/mmm
- polymorph energy (0 for the lowest one) (kJ/mol of formula units) = 53
- energy relative to the elements (meV per atom) = -598
- magnetic moment (μB per cell) = 0.0

```
CsSr2Bi2
1.0
5.825 0.000 0.000
0.000 5.825 0.000
2.913 2.913 7.030
Cs Sr Bi
1 2 2
direct
0.000 0.000 0.000
0.750 0.250 0.500
0.250 0.750 0.500
0.379 0.379 0.242
0.621 0.621 0.758
```

***

5.
VASP calculation (PBE) on a geometry-optimized CsCa2Hf structure.

- N(E_F) (states/eV/cell) = 7.4
- SG = Fm-3m
- energy relative to the elements (meV per atom) = 894
- magnetic moment (μB per cell) = 2.8

```
CsCa2Hf
1.0
0.000 4.288 4.288
4.288 0.000 4.288
4.288 4.288 0.000
Cs Ca Hf
1 2 1
direct
0.000 0.000 0.000
0.250 0.250 0.250
0.750 0.750 0.750
0.500 0.500 0.500
```

***

6.
VASP calculation (PBE) on a geometry-optimized BaCu3Ni structure.

- N(E_F) (states/eV/cell) = 1.9
- SG = Pm-3m
- polymorph energy (0 for the lowest one) (kJ/mol of formula units) = 0
- energy relative to the elements (meV per atom) = 230
- magnetic moment (μB per cell) = 0.0

```
BaCu3Ni
1.0
-3.978 -0.698 -2.360
1.143 -4.497 -0.595
-2.180 -1.083 3.994
Ni Ba Cu
1 1 3
direct
0.000 0.000 0.000
0.500 0.500 0.500
0.000 0.500 0.000
0.000 0.000 0.500
0.500 0.000 0.000
```